Density functional theory data (GGA+U) for crystalline NpTaMn2O8 at its relaxed geometry.

abc: 4.8520 4.8519 6.4474
angles: 90.00 90.00 93.43
Each line ends with the local moment (μB).
Atoms (fractional coordinates):
Np 0.0000 0.0000 0.0000  1.41
Ta 0.0000 0.0000 0.5000  0.09
Mn 0.5000 0.5000 0.7394  4.35
Mn 0.5000 0.5000 0.2606  4.35
O 0.1833 0.8166 0.2591  -0.04
O 0.6958 0.6958 0.0000  -0.10
O 0.8167 0.1834 0.2591  -0.04
O 0.8167 0.1834 0.7409  -0.04
O 0.3042 0.3042 0.0000  -0.10
O 0.1833 0.8166 0.7409  -0.04
O 0.7030 0.7030 0.5000  -0.07
O 0.2970 0.2970 0.5000  -0.07

Output
Total energy (eV per atom): -8.970
Calculated density (Mg/m³): 7.2
SG: Cmmm, No. 65
Spin magnetization (μB per atom): 0.8333